#w
Computed, not measured: a relaxed Er3ZnOs crystal at the PBE level of DFT.

Unit cell a=14.7183 b=10.9921 c=6.4193 alpha=90.00 beta=100.00 gamma=90.00
With the nearest neighbours (Å) after each atom.
Space group C2/c (No. 15)
Asymmetric unit:
Er: 0.0698 0.2001 0.0307 (multiplicity 8)  3 Os 2.73-2.91, 1 Zn 2.96
Er: 0.1091 0.4419 0.6229 (multiplicity 8)  2 Os 2.73-2.75, 2 Zn 2.95-3.05
Er: 0.1509 0.0910 0.5562 (multiplicity 8)  2 Os 2.88-2.90, 2 Zn 3.06
Zn: 0.2376 0.3624 0.0030 (multiplicity 8)  1 Zn 2.50
Os: 0.0000 0.0018 0.7500 (multiplicity 4)  8 Er 2.88-2.91, 2 Os 3.21
Os: 0.0000 0.3799 0.2500 (multiplicity 4)  6 Er 2.73-2.75

#x
Computed, not measured: a relaxed Er3ZnOs crystal at the PBE level of DFT.

Unit cell a=6.3126 b=9.4569 c=15.7152 alpha=90.00 beta=90.00 gamma=90.00
With the nearest neighbours (Å) after each atom.
Space group Fmmm (No. 69)
Asymmetric unit:
Er: 0.0000 0.0000 0.1972 (multiplicity 8)  4 Os 2.96, 2 Er 3.31
Er: 0.0000 0.1847 0.3936 (multiplicity 16)  2 Os 2.82, 2 Zn 3.09
Zn: 0.1947 0.0000 0.0000 (multiplicity 8)  1 Zn 2.46
Os: 0.2500 0.2500 0.2500 (multiplicity 8)  8 Er 2.82-2.96, 2 Os 3.16

The structure with the least stability is #w.

#w
Computed, not measured: a relaxed Er3Zn2Os crystal at the PBE level of DFT.

Unit cell a=3.4645 b=3.4645 c=10.5983 alpha=90.00 beta=90.00 gamma=90.00
With the nearest neighbours (Å) after each atom.
Space group P4/mmm (No. 123)
Asymmetric unit:
Er: 0.0000 0.0000 0.0000 (multiplicity 1)  8 Zn 3.03
Er: 0.0000 0.0000 0.3471 (multiplicity 2)  4 Os 2.94, 4 Zn 3.10, 1 Er 3.24
Zn: 0.5000 0.5000 0.1684 (multiplicity 2)  8 Er 3.03-3.10
Os: 0.5000 0.5000 0.5000 (multiplicity 1)  8 Er 2.94

#x
Computed, not measured: a relaxed Er3Zn2Os crystal at the PBE level of DFT.

Unit cell a=4.8889 b=14.6521 c=7.0938 alpha=90.00 beta=90.00 gamma=90.00
With the nearest neighbours (Å) after each atom.
Space group Cmmm (No. 65)
Asymmetric unit:
Er: 0.0000 0.0000 0.2380 (multiplicity 4)  2 Os 2.93, 6 Zn 2.97-3.07
Er: 0.0000 0.3295 0.2329 (multiplicity 8)  3 Os 2.94-2.95, 5 Zn 3.00-3.14
Zn: 0.0000 0.1664 0.5000 (multiplicity 4)  8 Er 3.05-3.09
Zn: 0.0000 0.5000 0.0000 (multiplicity 2)  8 Er 2.97-3.00
Zn: 0.0000 0.5000 0.5000 (multiplicity 2)  8 Er 3.07-3.14
Os: 0.0000 0.1635 0.0000 (multiplicity 4)  8 Er 2.93-2.95

The structure with the least stability is #w.

#w
Computed, not measured: a relaxed ErP2Pd4 crystal at the PBE level of DFT.

Unit cell a=7.8208 b=7.8208 c=3.6947 alpha=90.00 beta=90.00 gamma=90.00
With the nearest neighbours (Å) after each atom.
Space group P4_2/mnm (No. 136)
Asymmetric unit:
Er: 0.0000 0.0000 0.0000 (multiplicity 2)  6 P 3.05-3.10, 8 Pd 3.12
P: 0.2247 0.2247 0.5000 (multiplicity 4)  6 Pd 2.39-2.48
Pd: 0.0677 0.6859 0.5000 (multiplicity 8)  3 P 2.39-2.48

#x
Computed, not measured: a relaxed ErP2Pd4 crystal at the PBE level of DFT.

Unit cell a=4.1413 b=13.0911 c=4.1763 alpha=90.00 beta=90.00 gamma=90.00
With the nearest neighbours (Å) after each atom.
Space group Cmmm (No. 65)
Asymmetric unit:
Er: 0.0000 0.0000 0.0000 (multiplicity 2)  8 Pd 3.03-3.08, 8 P 3.14
P: 0.0000 0.4158 0.5000 (multiplicity 4)  1 P 2.20, 4 Pd 2.37
Pd: 0.0000 0.1728 0.5000 (multiplicity 4)  2 P 2.37
Pd: 0.0000 0.3306 0.0000 (multiplicity 4)  2 P 2.37

The structure with the least stability is #w.

#w
Computed, not measured: a relaxed PmErP2 crystal at the PBE level of DFT.

Unit cell a=4.0150 b=4.0150 c=20.6570 alpha=90.00 beta=90.00 gamma=120.00
With the nearest neighbours (Å) after each atom.
Space group R3m (No. 160, hexagonal axes)
Asymmetric unit:
Pm: 0.0000 0.0000 0.0000 (multiplicity 3)  6 P 2.88-2.95
Er: 0.0000 0.0000 0.8284 (multiplicity 3)  6 P 2.84-2.88
P: 0.0000 0.0000 0.4159 (multiplicity 3)  3 Er 2.84, 3 Pm 2.88
P: 0.0000 0.0000 0.5782 (multiplicity 3)  3 Er 2.88, 3 Pm 2.95

#x
Computed, not measured: a relaxed PmErP2 crystal at the PBE level of DFT.

Unit cell a=7.0002 b=7.0002 c=7.0002 alpha=90.00 beta=90.00 gamma=90.00
With the nearest neighbours (Å) after each atom.
Space group Fm-3m (No. 225)
Asymmetric unit:
Pm: 0.0000 0.0000 0.0000 (multiplicity 4)  8 P 3.03
Er: 0.0000 0.0000 0.5000 (multiplicity 4)  8 P 3.03
P: 0.2500 0.2500 0.2500 (multiplicity 8)  4 Er 3.03, 4 Pm 3.03

#y
Computed, not measured: a relaxed PmErP2 crystal at the PBE level of DFT.

Unit cell a=4.0539 b=4.0539 c=19.8173 alpha=90.00 beta=90.00 gamma=120.00
With the nearest neighbours (Å) after each atom.
Space group R-3m (No. 166, hexagonal axes)
Asymmetric unit:
Pm: 0.0000 0.0000 0.0000 (multiplicity 3)  6 P 2.90
Er: 0.0000 0.0000 0.5000 (multiplicity 3)  6 P 2.83
P: 0.0000 0.0000 0.2467 (multiplicity 6)  3 Er 2.83, 3 Pm 2.90

The structure with the least stability is #x.